# BaSbO3 | the Alexandria database | PBE | optimized geometry
data_BaSbO3
_chemical_formula_sum 'Ba4 Sb4 O12'
_symmetry_space_group_name_H-M 'P 63/m m c'
_symmetry_Int_Tables_number 194
_symmetry_space_group_name_Hall '-P 6c 2c'
_cell_length_a 6.1668
_cell_length_b 6.1668
_cell_length_c 10.3516
_cell_angle_alpha 90.00
_cell_angle_beta 90.00
_cell_angle_gamma 120.00
loop_
_atom_site_label
_atom_site_fract_x
_atom_site_fract_y
_atom_site_fract_z
_atom_site_occupancy
Ba1 0.0000 0.0000 0.0000 1
Ba2 0.3333 0.6667 0.2500 1
Sb1 0.3333 0.6667 0.6103 1
O1 0.0000 0.5000 0.0000 1
O2 0.1838 0.3675 0.7500 1
# Formation energy from raw total energies = -184.2 kJ/mol of atoms
# Final energy = -121.856 eV per cell

---

# Ba5Sb2O2 | the Alexandria database | PBE | optimized geometry
data_Ba5Sb2O2
_chemical_formula_sum 'Ba5 Sb2 O2'
_symmetry_space_group_name_H-M 'P 4/m m m'
_symmetry_Int_Tables_number 123
_symmetry_space_group_name_Hall '-P 4 2'
_cell_length_a 5.423
_cell_length_b 5.423
_cell_length_c 10.618
_cell_angle_alpha 90.00
_cell_angle_beta 90.00
_cell_angle_gamma 90.00
loop_
_atom_site_label
_atom_site_fract_x
_atom_site_fract_y
_atom_site_fract_z
_atom_site_occupancy
Ba1 0.000 0.000 0.000 1
Ba2 0.000 0.500 0.283 1
Sb1 0.500 0.500 0.000 1
Sb2 0.500 0.500 0.500 1
O1 0.000 0.000 0.244 1
# Formation energy from raw total energies = -162.2 kJ/mol of atoms
# Final energy = -42.906 eV per cell

---

# Ba5Sb2O2 | the Alexandria database | PBE | optimized geometry
data_Ba5Sb2O2
_chemical_formula_sum 'Ba10 Sb4 O4'
_symmetry_space_group_name_H-M 'C 1 2/m 1'
_symmetry_Int_Tables_number 12
_symmetry_space_group_name_Hall '-C 2y'
_cell_length_a 14.561
_cell_length_b 5.687
_cell_length_c 8.073
_cell_angle_alpha 90.00
_cell_angle_beta 107.57
_cell_angle_gamma 90.00
loop_
_atom_site_label
_atom_site_fract_x
_atom_site_fract_y
_atom_site_fract_z
_atom_site_occupancy
Ba1 0.000 0.000 0.000 1
Ba2 0.149 0.000 0.567 1
Ba3 0.165 0.500 0.904 1
Sb1 0.100 0.500 0.299 1
O1 0.160 0.000 0.888 1
# Formation energy from raw total energies = -158.2 kJ/mol of atoms
# Final energy = -85.070 eV per cell

---

# BaSbO2 | the Alexandria database | PBE | optimized geometry
data_BaSbO2
_chemical_formula_sum 'Ba3 Sb3 O6'
_symmetry_space_group_name_H-M 'R -3 m'
_symmetry_Int_Tables_number 166
_symmetry_space_group_name_Hall '-R 3 2"'
_cell_length_a 3.8678
_cell_length_b 3.8678
_cell_length_c 21.0130
_cell_angle_alpha 90.00
_cell_angle_beta 90.00
_cell_angle_gamma 120.00
loop_
_atom_site_label
_atom_site_fract_x
_atom_site_fract_y
_atom_site_fract_z
_atom_site_occupancy
Ba1 0.0000 0.0000 0.0000 1
Sb1 0.0000 0.0000 0.5000 1
O1 0.0000 0.0000 0.4022 1
# Formation energy from raw total energies = -152.6 kJ/mol of atoms
# Final energy = -66.867 eV per cell